The following is a DFT calculation (PBE) of crystalline Cu2Re2F at its relaxed geometry.

Lattice parameters (Å, degrees): 7.641 7.641 2.573 90.00 90.00 90.00
Atoms (fractional coordinates):
Cu (0.181, 0.319, 0.000)
Cu (0.319, 0.819, 0.000)
Cu (0.681, 0.181, 0.000)
Cu (0.819, 0.681, 0.000)
Re (0.112, 0.612, 0.500)
Re (0.388, 0.112, 0.500)
Re (0.612, 0.888, 0.500)
Re (0.888, 0.388, 0.500)
F (0.000, 0.000, 0.000)
F (0.500, 0.500, 0.000)

Symmetry = P4/mbm, No. 127
Density = 11.5 g/cm³
DOS(E_F) = 7.04 states/eV/cell
Uncorrected formation energy = 0.569 eV per atom